Record 1
{
  "formula": "KZr3",
  "functional": "PBE",
  "state": "optimized geometry",
  "lattice_angstrom": [[5.741, 0.000, 0.000], [0.000, 5.741, 0.000], [0.000, 0.000, 3.173]],
  "species": ["Zr", "Zr", "Zr", "K"],
  "fractional_positions": [[0.500, 0.000, 0.500], [0.000, 0.500, 0.500], [0.500, 0.500, 0.000], [0.000, 0.000, 0.000]],
  "formation_energy_mev_per_atom": 919.6,
  "rho_g_cm3": 4.97,
  "total_magnetization_mub_per_atom": 0.222,
  "n_ef_per_ev_atom": 1.61,
  "energy_ev_per_atom": -5.77
}

Record 2
{
  "formula": "KZr2",
  "functional": "PBE",
  "state": "optimized geometry",
  "lattice_angstrom": [[5.365, -1.830, -0.239], [5.483, 1.445, -0.188], [4.692, -0.352, 11.807]],
  "species": ["K", "K", "Zr", "Zr", "Zr", "Zr"],
  "fractional_positions": [[0.819, 0.819, 0.139], [0.181, 0.181, 0.861], [0.523, 0.523, 0.628], [0.477, 0.477, 0.372], [0.181, 0.181, 0.427], [0.819, 0.819, 0.573]],
  "formation_energy_mev_per_atom": 399.6,
  "de_polymorph_mev_per_atom": 0,
  "rho_g_cm3": 3.45,
  "total_magnetization_mub_per_atom": 0.000,
  "n_ef_per_ev_atom": 1.15,
  "energy_ev_per_atom": -5.66
}